No. 1
GGA-PBE HfMnTe3, optimized geometry; E_tot = -6.1635 eV per atom; ΔE_f (raw) = -0.4539 eV/atom
1.0
7.7205 0.0000 0.0000
0.0000 4.1176 0.0000
-0.8368 0.0000 10.2975
Hf Mn Te
2 2 6
Cartesian
0.3497 1.0294 1.6373
6.5339 3.0882 8.6602
2.4779 1.0294 6.2369
4.4057 3.0882 4.0605
-0.1030 1.0294 6.9785
1.8377 3.0882 0.1821
2.7376 1.0294 3.4694
4.1460 3.0882 6.8281
5.0460 1.0294 10.1154
6.9866 3.0882 3.3190



No. 2
GGA-PBE TmPd2Au6, optimized geometry; ΔH_f (0 K) = -396 meV/atom; E_tot = -4.2319 eV per atom
1.0
6.2873 -2.0439 0.0000
6.2873 2.0439 0.0000
-2.1260 0.0000 6.3107
Tm Pd Au
1 2 6
Cartesian
0.0000 0.0000 0.0000
4.2036 0.0000 4.2379
6.2450 0.0000 2.0729
-0.0407 0.0000 4.1860
2.1009 0.0000 2.1312
2.0709 0.0000 6.2660
8.3778 0.0000 0.0447
8.3478 0.0000 4.1795
10.4894 0.0000 2.1247



No. 3
GGA-PBE Cr2BiCl, optimized geometry; E_tot = -5.9413 eV per atom; ΔE_f (raw) = 0.3023 eV/atom
1.0
-3.5014 3.5014 3.8337
3.5014 -3.5014 3.8337
3.5014 3.5014 -3.8337
Cr Bi Cl
4 2 2
Cartesian
5.2521 1.5256 -0.9584
1.5256 1.7507 0.9584
-1.7507 1.9759 2.8753
1.9759 1.7507 4.7921
3.5014 0.0000 1.9168
0.0000 0.0000 3.8337
0.0000 0.0000 0.0000
0.0000 3.5014 1.9168